[1]
VASP calculation (GGA-PBE) on a geometry-optimized RbVCl5 structure.

Cell and atoms, written as extended XYZ:
```
7
Lattice="-3.780 5.281 3.299 3.780 -5.281 3.299 3.780 5.281 -3.299" Properties=species:S:1:pos:R:3 pbc="T T T"
Rb 0.000 0.000 0.000
V 3.780 0.000 2.023
Cl 3.780 -2.300 2.023
Cl 1.980 5.281 -0.283
Cl 1.801 0.000 3.016
Cl 3.780 2.300 2.023
Cl 0.000 5.281 3.115
```

Computed properties:
total DFT energy (no corrections) = -4.1014 eV/atom
energy relative to the elements, uncorrected = -1.341 eV per atom

***

[2]
VASP calculation (GGA-PBE) on a geometry-optimized MnAsRu3 structure.

Cell and atoms, written as extended XYZ:
```
5
Lattice="4.412 0.000 0.000 0.000 4.412 0.000 0.000 0.000 4.412" Properties=species:S:1:pos:R:3 pbc="T T T"
Mn 0.000 0.000 0.000
As 2.206 2.206 2.206
Ru 0.000 0.000 2.206
Ru 0.000 2.206 0.000
Ru 2.206 0.000 0.000
```

Computed properties:
distance to the lowest polymorph of the same formula = 0.0 meV/atom
total DFT energy (no corrections) = -7.0734 eV/atom

***

[3]
VASP calculation (GGA-PBE) on a geometry-optimized Zr4CdIn3 structure.

Cell and atoms, written as extended XYZ:
```
8
Lattice="-2.226 2.226 8.892 2.226 -2.226 8.892 2.226 2.226 -8.892" Properties=species:S:1:pos:R:3 pbc="T T T"
Zr 2.226 0.000 2.231
Zr 2.226 0.000 6.662
Zr 0.000 2.226 2.231
Zr 0.000 2.226 6.662
Cd 0.000 0.000 0.000
In 0.000 0.000 4.448
In 0.000 0.000 8.892
In 0.000 0.000 13.337
```

Computed properties:
total DFT energy (no corrections) = -5.6889 eV/atom

***

[4]
VASP calculation (GGA-PBE) on a geometry-optimized Pm2Dy3Tm8 structure.

Cell and atoms, written as extended XYZ:
```
13
Lattice="7.545 0.000 0.000 0.000 5.488 0.000 -3.769 0.000 10.278" Properties=species:S:1:pos:R:3 pbc="T T T"
Pm 0.005 0.000 4.943
Pm 3.770 0.000 5.335
Dy 0.000 0.000 0.000
Dy -1.606 2.744 10.277
Dy 5.381 2.744 0.001
Tm 0.001 2.744 2.651
Tm -1.607 0.000 8.060
Tm 0.004 2.744 6.949
Tm 2.161 0.000 2.219
Tm 1.614 0.000 8.059
Tm 3.771 2.744 3.329
Tm 5.382 0.000 2.218
Tm 3.774 2.744 7.627
```

Computed properties:
total DFT energy (no corrections) = -4.2931 eV/atom

***

[5]
VASP calculation (GGA-PBE) on a geometry-optimized FeSi structure.

Cell and atoms, written as extended XYZ:
```
16
Lattice="4.293 0.000 0.000 0.000 5.015 0.000 0.000 0.000 8.238" Properties=species:S:1:pos:R:3 pbc="T T T"
Fe 0.118 1.058 1.836
Fe 0.912 2.076 4.282
Fe 1.235 2.938 0.163
Fe 2.029 3.956 5.955
Fe 2.265 1.449 6.402
Fe 3.059 0.431 3.956
Fe 3.381 4.583 8.075
Fe 4.175 3.566 2.283
Si 0.086 2.841 6.368
Si 0.942 4.651 3.970
Si 1.205 0.364 8.089
Si 2.061 2.174 2.249
Si 2.233 4.681 1.870
Si 3.089 2.871 4.267
Si 3.352 2.143 0.148
Si 4.207 0.334 5.989
```

Computed properties:
total DFT energy (no corrections) = -7.2711 eV/atom
energy relative to the elements, uncorrected = -0.328 eV per atom

***

[6]
VASP calculation (GGA-PBE) on a geometry-optimized ZnCdW structure.

Cell and atoms, written as extended XYZ:
```
3
Lattice="4.575 0.000 0.000 -2.287 3.962 0.000 0.000 0.000 2.794" Properties=species:S:1:pos:R:3 pbc="T T T"
Zn 0.000 0.000 0.000
Cd 2.287 1.321 0.000
W 0.000 2.641 1.397
```

Computed properties:
distance to the lowest polymorph of the same formula = 273.9 meV/atom
total DFT energy (no corrections) = -4.3887 eV/atom

***

[7]
VASP calculation (GGA-PBE) on a geometry-optimized WAu3S structure.

Cell and atoms, written as extended XYZ:
```
5
Lattice="4.627 0.000 0.000 0.000 4.627 0.000 0.000 0.000 4.627" Properties=species:S:1:pos:R:3 pbc="T T T"
W 0.000 0.000 0.000
Au 0.000 2.314 2.314
Au 2.314 0.000 2.314
Au 2.314 2.314 0.000
S 2.314 2.314 2.314
```

Computed properties:
distance to the lowest polymorph of the same formula = 0.0 meV/atom
total DFT energy (no corrections) = -3.9402 eV/atom
energy relative to the elements, uncorrected = 1.442 eV per atom

***

[8]
VASP calculation (GGA-PBE) on a geometry-optimized Pr15Dy4Y structure.

Cell and atoms, written as extended XYZ:
```
20
Lattice="5.206 0.000 0.000 0.000 5.206 0.000 0.000 0.000 25.888" Properties=species:S:1:pos:R:3 pbc="T T T"
Pr 0.000 0.000 0.000
Pr 0.000 0.000 5.183
Pr 0.000 0.000 10.357
Pr 0.000 0.000 15.531
Pr 0.000 0.000 20.705
Pr 0.000 2.603 2.599
Pr 0.000 2.603 7.768
Pr 0.000 2.603 12.944
Pr 0.000 2.603 18.120
Pr 0.000 2.603 23.289
Pr 2.603 0.000 2.599
Pr 2.603 0.000 7.768
Pr 2.603 0.000 12.944
Pr 2.603 0.000 18.120
Pr 2.603 0.000 23.289
Dy 2.603 2.603 5.181
Dy 2.603 2.603 10.356
Dy 2.603 2.603 15.532
Dy 2.603 2.603 20.708
Y 2.603 2.603 0.000
```

Computed properties:
total DFT energy (no corrections) = -4.8187 eV/atom

***

[9]
VASP calculation (GGA-PBE) on a geometry-optimized LiAcMg2Tl4 structure.

Cell and atoms, written as extended XYZ:
```
8
Lattice="2.552 1.473 9.483 -2.552 1.473 9.483 0.000 -2.946 9.483" Properties=species:S:1:pos:R:3 pbc="T T T"
Li 0.000 0.000 0.000
Ac 0.000 0.000 14.225
Mg 0.000 0.000 7.258
Mg 0.000 0.000 21.192
Tl 0.000 0.000 3.014
Tl 0.000 0.000 10.479
Tl 0.000 0.000 17.971
Tl 0.000 0.000 25.436
```

Computed properties:
total DFT energy (no corrections) = -2.5529 eV/atom

***

[10]
VASP calculation (GGA-PBE) on a geometry-optimized ThU2PaP4 structure.

Cell and atoms, written as extended XYZ:
```
8
Lattice="6.887 0.000 0.000 0.000 3.975 0.000 -2.298 0.000 6.599" Properties=species:S:1:pos:R:3 pbc="T T T"
Th 0.000 0.000 0.000
U -1.149 1.987 3.299
U 2.294 0.000 3.299
Pa 3.443 1.987 0.000
P 0.042 0.000 4.908
P 1.193 1.987 1.724
P 3.395 1.987 4.874
P 4.547 0.000 1.691
```

Computed properties:
total DFT energy (no corrections) = -8.8278 eV/atom

***

[11]
VASP calculation (GGA-PBE) on a geometry-optimized KRhCl2F structure.

Cell and atoms, written as extended XYZ:
```
5
Lattice="4.931 0.000 0.000 0.000 4.931 0.000 0.000 0.000 4.237" Properties=species:S:1:pos:R:3 pbc="T T T"
K 0.000 0.000 0.000
Rh 2.465 2.465 2.119
Cl 0.000 2.465 2.119
Cl 2.465 0.000 2.119
F 2.465 2.465 0.000
```

Computed properties:
total DFT energy (no corrections) = -4.0363 eV/atom
energy relative to the elements, uncorrected = -1.234 eV per atom

***

[12]
VASP calculation (GGA-PBE) on a geometry-optimized BaTcC3 structure.

Cell and atoms, written as extended XYZ:
```
5
Lattice="4.464 0.000 0.000 0.000 4.464 0.000 0.000 0.000 4.464" Properties=species:S:1:pos:R:3 pbc="T T T"
Ba 0.000 0.000 0.000
Tc 2.232 2.232 2.232
C 0.000 0.000 2.232
C 0.000 2.232 0.000
C 2.232 0.000 0.000
```

Computed properties:
distance to the lowest polymorph of the same formula = 3075.2 meV/atom
total DFT energy (no corrections) = -3.8008 eV/atom

***

[13]
VASP calculation (GGA-PBE) on a geometry-optimized La2Zn4GaHg3 structure.

Cell and atoms, written as extended XYZ:
```
10
Lattice="4.572 0.000 0.000 0.000 4.572 0.000 0.000 0.000 10.697" Properties=species:S:1:pos:R:3 pbc="T T T"
La 0.000 2.286 2.637
La 2.286 0.000 8.060
Zn 0.000 0.000 5.348
Zn 0.000 2.286 9.334
Zn 2.286 0.000 1.363
Zn 2.286 2.286 5.348
Ga 2.286 2.286 0.000
Hg 0.000 0.000 0.000
Hg 0.000 2.286 6.761
Hg 2.286 0.000 3.935
```

Computed properties:
total DFT energy (no corrections) = -2.2183 eV/atom

***

[14]
VASP calculation (GGA-PBE) on a geometry-optimized Li2Pd2Pb structure.

Cell and atoms, written as extended XYZ:
```
5
Lattice="-1.872 1.872 6.435 1.872 -1.872 6.435 1.872 1.872 -6.435" Properties=species:S:1:pos:R:3 pbc="T T T"
Li 1.872 0.000 3.217
Li 0.000 1.872 3.217
Pd 0.000 0.000 1.380
Pd 0.000 0.000 11.489
Pb 0.000 0.000 6.435
```

Computed properties:
distance to the lowest polymorph of the same formula = 227.4 meV/atom
total DFT energy (no corrections) = -3.7625 eV/atom

***

[15]
VASP calculation (GGA-PBE) on a geometry-optimized SmErAl2Zn2 structure.

Cell and atoms, written as extended XYZ:
```
6
Lattice="4.493 0.000 0.000 -2.247 3.891 0.000 0.000 0.000 7.252" Properties=species:S:1:pos:R:3 pbc="T T T"
Sm 0.000 0.000 0.000
Er 0.000 0.000 3.626
Al 0.000 2.594 5.323
Al 2.247 1.297 1.929
Zn 0.000 2.594 1.975
Zn 2.247 1.297 5.277
```

Computed properties:
total DFT energy (no corrections) = -3.6708 eV/atom

***

[16]
VASP calculation (GGA-PBE) on a geometry-optimized La2DyHoEr4 structure.

Cell and atoms, written as extended XYZ:
```
16
Lattice="6.819 -6.618 0.000 6.819 6.618 0.000 -3.388 0.000 5.893" Properties=species:S:1:pos:R:3 pbc="T T T"
La 0.000 0.000 0.000
La -1.694 0.000 2.947
La 3.409 3.309 0.000
La 1.716 -3.309 2.947
Dy 6.819 0.000 0.000
Dy 5.125 0.000 2.947
Ho 1.716 3.309 2.947
Ho 3.409 -3.309 0.000
Er 1.747 0.027 2.973
Er 5.117 3.273 2.965
Er 3.439 3.273 5.875
Er 3.441 -0.027 0.026
Er 6.809 0.027 5.867
Er 6.811 -3.273 0.019
Er 5.133 -3.273 2.928
Er 8.503 -0.027 2.921
```

Computed properties:
total DFT energy (no corrections) = -4.2433 eV/atom

***

[17]
VASP calculation (GGA-PBE) on a geometry-optimized BaSnAs2Se8 structure.

Cell and atoms, written as extended XYZ:
```
12
Lattice="6.483 0.000 0.000 -3.241 5.614 0.000 0.000 0.000 9.541" Properties=species:S:1:pos:R:3 pbc="T T T"
Ba 0.000 0.000 0.000
Sn 0.000 0.000 4.771
As 0.000 3.743 7.138
As 3.241 1.871 2.404
Se -2.044 3.866 3.006
Se 0.915 1.911 3.006
Se 0.000 3.743 9.433
Se 2.113 0.163 6.536
Se 1.129 5.451 3.006
Se 3.241 1.871 0.108
Se 2.327 3.703 6.536
Se 5.285 1.748 6.536
```

Computed properties:
total DFT energy (no corrections) = -3.9599 eV/atom
energy relative to the elements, uncorrected = -0.368 eV per atom

***

[18]
VASP calculation (GGA-PBE) on a geometry-optimized PmPr5Ge4 structure.

Cell and atoms, written as extended XYZ:
```
10
Lattice="7.965 -2.598 0.000 7.965 2.598 0.000 -0.056 0.000 7.089" Properties=species:S:1:pos:R:3 pbc="T T T"
Pm 0.000 0.000 0.000
Pr -0.028 0.000 3.545
Pr 5.315 0.000 3.592
Pr 5.273 0.000 7.034
Pr 10.600 0.000 0.055
Pr 10.558 0.000 3.498
Ge 2.806 0.000 1.768
Ge 7.799 0.000 1.745
Ge 8.074 0.000 5.345
Ge 13.067 0.000 5.321
```

Computed properties:
total DFT energy (no corrections) = -5.3239 eV/atom

***

[19]
VASP calculation (GGA-PBE) on a geometry-optimized ScCo2S structure.

Cell and atoms, written as extended XYZ:
```
8
Lattice="-1.883 1.883 8.090 1.883 -1.883 8.090 1.883 1.883 -8.090" Properties=species:S:1:pos:R:3 pbc="T T T"
Sc 0.000 0.000 0.000
Sc 0.000 1.883 4.045
Co 0.941 -0.686 6.067
Co 1.197 0.941 2.022
Co 0.941 2.569 -2.022
Co 0.686 0.941 10.112
S 1.883 0.000 4.045
S 0.000 0.000 8.090
```

Computed properties:
total DFT energy (no corrections) = -6.4612 eV/atom
energy relative to the elements, uncorrected = -0.294 eV per atom

***

[20]
VASP calculation (GGA-PBE) on a geometry-optimized Be2Nb5P structure.

Cell and atoms, written as extended XYZ:
```
16
Lattice="-3.199 3.199 5.830 3.199 -3.199 5.830 3.199 3.199 -5.830" Properties=species:S:1:pos:R:3 pbc="T T T"
Be 3.965 0.767 0.000
Be 0.767 2.432 0.000
Be 2.432 0.767 5.830
Be -0.767 2.432 5.830
Nb 0.000 0.000 0.000
Nb 2.111 1.087 -1.694
Nb 2.111 -1.087 4.137
Nb 2.111 1.087 1.694
Nb 2.111 -1.087 7.524
Nb 0.000 0.000 5.830
Nb 1.087 4.286 -1.694
Nb 1.087 2.111 4.137
Nb 1.087 4.286 1.694
Nb 1.087 2.111 7.524
P 0.000 0.000 2.915
P 0.000 0.000 8.745
```

Computed properties:
total DFT energy (no corrections) = -8.3745 eV/atom

***

Total moment, respectively: 1.00; 0.00; 0.00; 0.00; 0.00; 0.51; 0.00; 0.00; 0.00; 4.09; 0.00; 0.01; 0.00; 0.00; 0.00; 0.42; 0.00; 0.00; 3.67; 0.00 Bohr magnetons per cell.